(1)
DFT (GGA-PBEsol) results for crystalline ZrCo2Pt at its relaxed geometry.

Unit cell a=3.7742 b=3.7742 c=4.7218 alpha=113.56 beta=113.56 gamma=90.00
Last column: magnetic moment on the atom in μB.
Fractional positions:
Co 0.5000 0.5000 0.0000  1.12
Co 0.7500 0.2500 0.5000  1.20
Zr 0.2500 0.7500 0.5000  -0.18
Pt 0.0000 0.0000 0.0000  0.09

Results
* total magnetic moment: 2.14 μB/cell
* formation enthalpy at 0 K: -0.42 eV per atom



(2)
DFT (GGA-PBEsol) results for crystalline NaB5H5 at its relaxed geometry.

Unit cell a=6.5970 b=10.8658 c=12.0532 alpha=90.00 beta=90.00 gamma=91.67
Fractional positions:
Na 0.6826 0.5368 0.3769
Na 0.2844 0.5054 0.1233
Na 0.8174 0.9632 0.8769
Na 0.2156 0.9946 0.6233
Na 0.7844 0.0054 0.3767
Na 0.1826 0.0368 0.1231
Na 0.7156 0.4946 0.8767
Na 0.3174 0.4632 0.6231
B 0.6862 0.4117 0.1067
B 0.7298 0.4233 0.6454
B 0.7635 0.3317 0.2193
B 0.6556 0.3256 0.5414
B 0.9201 0.3487 0.5817
B 0.5253 0.2952 0.1475
B 0.8977 0.3283 0.0876
B 0.6604 0.2914 0.0164
B 0.5874 0.2972 0.6851
B 0.8528 0.3210 0.7259
B 0.6472 0.1790 0.2259
B 0.9126 0.2028 0.1851
B 0.8396 0.2086 0.5164
B 0.6023 0.1717 0.5876
B 0.9747 0.2048 0.6475
B 0.5799 0.1513 0.0817
B 0.8444 0.1744 0.0414
B 0.7365 0.1683 0.7193
B 0.7702 0.0767 0.1454
B 0.8138 0.0883 0.6067
B 0.1862 0.9117 0.3933
B 0.2298 0.9233 0.8546
B 0.2635 0.8317 0.2807
B 0.1556 0.8256 0.9586
B 0.4201 0.8487 0.9183
B 0.0253 0.7952 0.3525
B 0.3977 0.8283 0.4124
B 0.1604 0.7914 0.4836
B 0.0874 0.7972 0.8149
B 0.3528 0.8210 0.7741
B 0.1472 0.6790 0.2741
B 0.4126 0.7028 0.3149
B 0.3396 0.7086 0.9836
B 0.1023 0.6717 0.9124
B 0.4747 0.7048 0.8525
B 0.0799 0.6513 0.4183
B 0.3444 0.6744 0.4586
B 0.2365 0.6683 0.7807
B 0.2702 0.5767 0.3546
B 0.3138 0.5883 0.8933
H 0.2976 0.4681 0.3423
H 0.3374 0.4793 0.9061
H 0.8111 0.3779 0.3066
H 0.5543 0.3594 0.4639
H 0.0518 0.4063 0.5335
H 0.0517 0.3760 0.0519
H 0.3496 0.3096 0.1713
H 0.9352 0.3507 0.8119
H 0.6017 0.3038 0.9224
H 0.4312 0.3072 0.7368
H 0.0688 0.1928 0.2368
H 0.5648 0.1493 0.3119
H 0.8983 0.1962 0.4224
H 0.4483 0.1240 0.5519
H 0.1504 0.1904 0.6713
H 0.9457 0.1406 0.9639
H 0.4482 0.0937 0.0335
H 0.6889 0.1221 0.8066
H 0.7976 0.9681 0.1577
H 0.8374 0.9793 0.5939
H 0.1626 0.0207 0.4061
H 0.2024 0.0319 0.8423
H 0.3111 0.8779 0.1934
H 0.5518 0.9063 0.9665
H 0.0543 0.8594 0.0361
H 0.8496 0.8096 0.3287
H 0.5517 0.8760 0.4481
H 0.1017 0.8038 0.5776
H 0.4352 0.8507 0.6881
H 0.9312 0.8072 0.7632
H 0.5688 0.6928 0.2632
H 0.3983 0.6962 0.0776
H 0.0648 0.6493 0.1881
H 0.6504 0.6904 0.8287
H 0.9483 0.6240 0.9481
H 0.9482 0.5937 0.4665
H 0.4457 0.6406 0.5361
H 0.1889 0.6221 0.6934
H 0.6626 0.5207 0.0939
H 0.7024 0.5319 0.6577

Results
* DFT total energy: -444.256 eV for the cell shown
* total magnetic moment: 0.00 μB/cell



(3)
DFT (GGA-PBEsol) results for crystalline Rb2HRu at its relaxed geometry.

Unit cell a=5.4809 b=5.4809 c=5.4809 alpha=60.00 beta=60.00 gamma=60.00
Last column: magnetic moment on the atom in μB.
Fractional positions:
Ru 0.5000 0.5000 0.5000  2.23
Rb 0.2500 0.2500 0.2500  0.03
Rb 0.7500 0.7500 0.7500  0.03
H 0.0000 0.0000 0.0000  0.07

Results
* DFT total energy: -9.570 eV for the cell shown
* total magnetic moment: 2.99 μB/cell



(4)
DFT (GGA-PBEsol) results for crystalline ScCuSb2 at its relaxed geometry.

Unit cell a=3.8459 b=3.8459 c=5.6753 alpha=90.00 beta=90.00 gamma=90.00
Fractional positions:
Cu 0.5000 0.5000 0.7906
Sb 0.0000 0.0000 0.9462
Sb 0.5000 0.5000 0.3027
Sc 0.0000 0.0000 0.4605

Results
* total magnetic moment: 0.00 μB/cell
* energy relative to the elements, uncorrected: -325 meV/atom